1.
Crystalline TbZnTe2 at its relaxed geometry. Source: Alexandria via LeMat-Bulk, functional PBE-GGA.

Formation energy without anion corrections, meV per atom: -675
Energy above the lowest structure with this stoichiometry, kJ/mol of formula units: 18
M_tot, μB/cell: 0.00
Symmetry: R-3m

Cell: 4.4259 4.4259 9.1446 Å, 76.00 76.00 60.00°
Last column: nearest neighbours and their distance in Å.
Atoms (fractional coordinates):
1 Zn 0.0000 0.0000 0.0000  2 Te 2.65
2 Te 0.1006 0.1006 0.6982  1 Zn 2.65
3 Te 0.8994 0.8994 0.3018  1 Zn 2.65
4 Tb 0.5000 0.5000 0.5000  6 Te 3.09



2.
Crystalline SrFeCoRh2 at its relaxed geometry. Source: Alexandria via LeMat-Bulk, functional PBE-GGA.

M_tot, μB/cell: 5.15
Symmetry: P4/mmm
Formation energy from the elements, eV per atom: 0.432

Cell: 4.6432 4.4510 4.6432 Å, 90.00 90.00 90.00°
Last column: nearest neighbours and their distance in Å.
Atoms (fractional coordinates):
1 Sr 0.5000 0.5000 0.5000  8 Rh 3.22, 4 Co 3.28
2 Rh 0.0000 0.0000 0.5000  2 Fe 2.32
3 Rh 0.5000 0.0000 0.0000  2 Fe 2.32
4 Fe 0.0000 0.0000 0.0000  2 Co 2.23, 4 Rh 2.32
5 Co 0.0000 0.5000 0.0000  2 Fe 2.23



3.
Crystalline Be3BiW at its relaxed geometry. Source: Alexandria via LeMat-Bulk, functional PBE-GGA.

Energy above the lowest structure with this stoichiometry, kJ/mol of formula units: 513
M_tot, μB/cell: 3.00
Symmetry: Pm-3m
Formation energy from the elements, eV per atom: 2.222

Cell: 4.5992 4.5992 4.5992 Å, 90.00 90.00 90.00°
Last column: nearest neighbours and their distance in Å.
Atoms (fractional coordinates):
1 Be 0.0000 0.5000 0.0000  2 Bi 2.30
2 Be 0.0000 0.0000 0.5000  2 Bi 2.30
3 Be 0.5000 0.0000 0.0000  2 Bi 2.30
4 Bi 0.0000 0.0000 0.0000  6 Be 2.30
5 W 0.5000 0.5000 0.5000  12 Be 3.25



4.
Crystalline CdFeOs at its relaxed geometry. Source: Alexandria via LeMat-Bulk, functional PBE-GGA.

Energy above the lowest structure with this stoichiometry, kJ/mol of formula units: 46
M_tot, μB/cell: 2.54
Symmetry: Fmm2
Formation energy from the elements, eV per atom: 0.480

Cell: 7.3323 7.1095 2.7232 Å, 83.78 74.56 21.67°
Last column: nearest neighbours and their distance in Å.
Atoms (fractional coordinates):
1 Cd 0.9957 0.9957 0.0043  6 Cd 2.72-2.90, 2 Fe 2.79, 2 Os 2.94
2 Fe 0.3247 0.3247 0.6753  2 Os 2.49, 4 Fe 2.72
3 Os 0.6796 0.6796 0.3204  2 Fe 2.49, 4 Os 2.72



5.
Crystalline KTeI4 at its relaxed geometry. Source: Alexandria via LeMat-Bulk, functional PBE-GGA.

Formation energy without anion corrections, meV per atom: -512
Energy above the lowest structure with this stoichiometry, kJ/mol of formula units: 0
M_tot, μB/cell: 0.00
Symmetry: I-4m2

Cell: 6.2534 6.2534 9.5798 Å, 109.05 109.05 90.00°
Last column: nearest neighbours and their distance in Å.
Atoms (fractional coordinates):
1 K 0.0000 0.0000 0.0000  4 I 3.39
2 Te 0.7500 0.2500 0.5000  6 I 2.95-3.13
3 I 0.9234 0.4234 0.8469  1 Te 2.95
4 I 0.5766 0.0766 0.1531  1 Te 2.95
5 I 0.7551 0.7551 0.5102  2 Te 3.13
6 I 0.2449 0.2449 0.4898  2 Te 3.13



6.
Crystalline CsZrScSn2 at its relaxed geometry. Source: Alexandria via LeMat-Bulk, functional PBE-GGA.

M_tot, μB/cell: 1.89
Symmetry: P4/mmm
Formation energy from the elements, eV per atom: 0.754

Cell: 5.6334 5.8735 5.6334 Å, 90.00 90.00 90.00°
Last column: nearest neighbours and their distance in Å.
Atoms (fractional coordinates):
1 Cs 0.0000 0.5000 0.0000  2 Zr 2.94
2 Sc 0.5000 0.5000 0.5000  4 Cs 3.98, 8 Sn 4.07
3 Sn 0.0000 0.0000 0.5000  2 Zr 2.82
4 Sn 0.5000 0.0000 0.0000  2 Zr 2.82
5 Zr 0.0000 0.0000 0.0000  4 Sn 2.82, 2 Cs 2.94



Table of theoretical density (Mg/m³), in record order: 5.35; 7.06; 7.17; 12.80; 3.37; 4.51